Ta2CrHg2Se6: optimized geometry, PBE.

Cell and atoms, written as extended XYZ:
```
11
Lattice="3.0294 -5.2437 0.0000 3.0294 5.2437 0.0000 -2.2918 0.0000 9.5726" Properties=species:S:1:pos:R:3 pbc="T T T"
Ta 3.0294 3.4928 0.0000
Ta 3.0294 -3.4928 0.0000
Cr 3.0294 0.0000 0.0000
Hg 1.8835 1.8150 4.7863
Hg 1.8835 -1.8150 4.7863
Se -0.2457 1.7027 7.9675
Se 1.0641 0.0000 1.5988
Se -0.2457 -1.7027 7.9675
Se 4.0126 1.7027 1.6051
Se 2.7028 0.0000 7.9738
Se 4.0126 -1.7027 1.6051
```

Output
Formation energy without anion corrections   -0.566 eV per atom
Magnetization   1.91 μB per formula unit
ρ   7.04 g/cm3
Crystal system   monoclinic


Tl2CrHgSe: optimized geometry, PBE.

Cell and atoms, written as extended XYZ:
```
5
Lattice="5.8591 0.0000 0.0000 0.0000 5.8591 0.0000 0.0000 0.0000 5.2263" Properties=species:S:1:pos:R:3 pbc="T T T"
Tl 0.0000 2.9296 0.0000
Tl 2.9296 0.0000 0.0000
Cr 0.0000 0.0000 2.6132
Hg 2.9296 2.9296 0.0000
Se 2.9296 2.9296 2.6132
```

Output
Formation energy without anion corrections   0.718 eV per atom
Magnetization   5.26 μB per formula unit
ρ   6.85 g/cm3
Crystal system   tetragonal


Q: Which of these has the highest formation energy without anion corrections?
A: Tl2CrHgSe


Q: Which value of ρ does entry 1 give?
A: 7.04 g/cm3